A relaxed structure of CaZnCd2Pt2, computed with PBE. Values from VASP.

```
&SYSTEM
  ibrav = 0, nat = 6, ntyp = 4
/
ATOMIC_SPECIES
Pt 195.08 Pt.upf
Cd 112.41 Cd.upf
Ca 40.08 Ca.upf
Zn 65.41 Zn.upf
CELL_PARAMETERS angstrom
-3.212 4.310 0.167
-0.292 -0.425 5.353
5.967 1.181 -2.283
ATOMIC_POSITIONS crystal
Pt 0.769 0.769 0.538
Cd 0.750 0.250 0.500
Pt 0.231 0.231 0.462
Ca 0.500 0.500 0.000
Cd 0.250 0.750 0.500
Zn 0.000 0.000 0.000
```

Values from the calculation:
VASP energy   -0.11441 hartree per atom
Density of states at the Fermi level   2.36 states/eV per cell


A relaxed structure of PaGaAgHg, computed with PBE. Values from VASP.

```
&SYSTEM
  ibrav = 0, nat = 4, ntyp = 4
/
ATOMIC_SPECIES
Ga 69.72 Ga.upf
Hg 200.59 Hg.upf
Pa 231.04 Pa.upf
Ag 107.87 Ag.upf
CELL_PARAMETERS angstrom
-1.732 -4.653 -0.221
0.156 -2.904 4.031
-4.205 -1.201 2.362
ATOMIC_POSITIONS crystal
Ga 0.750 0.750 0.750
Hg 0.250 0.250 0.250
Pa 0.500 0.500 0.500
Ag 0.000 0.000 0.000
```

Values from the calculation:
VASP energy   -0.14363 hartree per atom
Density of states at the Fermi level   4.82 states/eV per cell


A relaxed structure of UOF4, computed with PBE. Values from VASP.

```
&SYSTEM
  ibrav = 0, nat = 24, ntyp = 3
/
ATOMIC_SPECIES
U 238.03 U.upf
O 16.00 O.upf
F 19.00 F.upf
CELL_PARAMETERS angstrom
-5.822 5.822 3.165
5.822 -5.822 3.165
5.822 5.822 -3.165
ATOMIC_POSITIONS crystal
U 0.047 0.875 0.672
O 0.890 0.875 0.515
F 0.107 0.031 0.212
F 0.342 0.238 0.764
F 0.908 0.171 0.396
U 0.125 0.797 0.172
U 0.203 0.375 0.328
F 0.431 0.719 0.576
O 0.625 0.110 0.985
F 0.474 0.579 0.236
F 0.488 0.092 0.264
F 0.819 0.896 0.788
F 0.104 0.893 0.924
O 0.125 0.640 0.015
F 0.776 0.512 0.604
F 0.762 0.526 0.104
O 0.360 0.375 0.485
F 0.421 0.658 0.896
F 0.146 0.569 0.288
F 0.969 0.181 0.076
F 0.143 0.854 0.424
U 0.625 0.953 0.828
F 0.829 0.224 0.736
F 0.281 0.857 0.712
```

Values from the calculation:
VASP energy   -0.26271 hartree per atom
Density of states at the Fermi level   0.00 states/eV per cell
E_form (uncorrected)   -1849 kJ/mol of formula units


A relaxed structure of SrCa8N4, computed with PBE. Values from VASP.

```
&SYSTEM
  ibrav = 0, nat = 13, ntyp = 3
/
ATOMIC_SPECIES
Ca 40.08 Ca.upf
N 14.01 N.upf
Sr 87.62 Sr.upf
CELL_PARAMETERS angstrom
3.572 0.000 0.774
1.703 9.277 0.770
-0.178 -0.384 9.455
ATOMIC_POSITIONS crystal
Ca 0.807 0.369 0.017
N 0.847 0.517 0.789
Ca 0.224 0.634 0.917
N 0.669 0.179 0.482
Ca 0.474 0.377 0.675
Ca 0.182 0.294 0.343
Ca 0.174 0.051 0.600
Ca 0.857 0.952 0.334
Ca 0.850 0.709 0.591
N 0.362 0.824 0.452
Ca 0.558 0.626 0.259
Sr 0.516 0.002 0.967
N 0.184 0.487 0.145
```

Values from the calculation:
VASP energy   -0.16600 hartree per atom
Density of states at the Fermi level   4.35 states/eV per cell
E_form (uncorrected)   -745 kJ/mol of formula units


A relaxed structure of Tb3HgTe2, computed with PBE. Values from VASP.

```
&SYSTEM
  ibrav = 0, nat = 6, ntyp = 3
/
ATOMIC_SPECIES
Tb 158.93 Tb.upf
Hg 200.59 Hg.upf
Te 127.60 Te.upf
CELL_PARAMETERS angstrom
4.210 0.000 0.000
0.000 6.189 0.000
-2.105 -3.095 6.757
ATOMIC_POSITIONS crystal
Tb 0.838 0.338 0.176
Hg 0.500 0.500 0.500
Te 0.831 0.831 0.162
Tb 0.162 0.662 0.824
Te 0.169 0.169 0.838
Tb 0.500 0.000 0.500
```

Values from the calculation:
VASP energy   -0.16382 hartree per atom
Density of states at the Fermi level   2.82 states/eV per cell
E_form (uncorrected)   -605 kJ/mol of formula units


A relaxed structure of AlSn2S, computed with PBE. Values from VASP.

```
&SYSTEM
  ibrav = 0, nat = 8, ntyp = 3
/
ATOMIC_SPECIES
Sn 118.71 Sn.upf
S 32.06 S.upf
Al 26.98 Al.upf
CELL_PARAMETERS angstrom
6.106 0.000 0.000
0.000 6.106 0.000
3.053 3.053 6.578
ATOMIC_POSITIONS crystal
Sn 0.624 0.125 0.250
S 0.750 0.250 0.500
Sn 0.875 0.874 0.750
Sn 0.375 0.376 0.750
S 0.000 0.000 0.000
Al 0.500 0.500 0.000
Sn 0.126 0.625 0.250
Al 0.250 0.750 0.500
```

Values from the calculation:
VASP energy   -0.14229 hartree per atom
Density of states at the Fermi level   6.40 states/eV per cell
E_form (uncorrected)   37 kJ/mol of formula units


A relaxed structure of MgNpCoH6, computed with PBE. Values from VASP.

```
&SYSTEM
  ibrav = 0, nat = 9, ntyp = 4
/
ATOMIC_SPECIES
Np 237.00 Np.upf
H 1.01 H.upf
Co 58.93 Co.upf
Mg 24.30 Mg.upf
CELL_PARAMETERS angstrom
-0.862 -3.045 3.144
2.888 -3.318 0.743
2.055 2.445 2.931
ATOMIC_POSITIONS crystal
Np 0.000 0.000 0.000
H 0.046 0.477 0.777
H 0.477 0.477 0.777
H 0.477 0.046 0.223
H 0.477 0.046 0.777
H 0.046 0.477 0.223
Co 0.333 0.333 0.500
H 0.477 0.477 0.223
Mg 0.667 0.667 0.500
```

Values from the calculation:
VASP energy   -0.17465 hartree per atom
Density of states at the Fermi level   12.70 states/eV per cell


A relaxed structure of YBi2N, computed with PBE. Values from VASP.

```
&SYSTEM
  ibrav = 0, nat = 8, ntyp = 3
/
ATOMIC_SPECIES
N 14.01 N.upf
Bi 208.98 Bi.upf
Y 88.91 Y.upf
CELL_PARAMETERS angstrom
7.438 0.000 0.000
0.000 7.438 0.000
3.719 3.719 3.632
ATOMIC_POSITIONS crystal
N 0.250 0.750 0.500
Bi 0.875 0.783 0.750
Bi 0.217 0.625 0.250
Y 0.000 0.000 0.000
Bi 0.375 0.467 0.750
Bi 0.533 0.125 0.250
Y 0.750 0.250 0.500
N 0.500 0.500 0.000
```

Values from the calculation:
VASP energy   -0.19551 hartree per atom
Density of states at the Fermi level   4.64 states/eV per cell
E_form (uncorrected)   123 kJ/mol of formula units


A relaxed structure of CdPd3S, computed with PBE. Values from VASP.

```
&SYSTEM
  ibrav = 0, nat = 5, ntyp = 3
/
ATOMIC_SPECIES
S 32.06 S.upf
Pd 106.42 Pd.upf
Cd 112.41 Cd.upf
CELL_PARAMETERS angstrom
-2.711 2.947 2.919
-3.468 -3.523 0.336
2.275 -1.859 3.990
ATOMIC_POSITIONS crystal
S 0.500 0.500 0.500
Pd 0.000 0.000 0.500
Pd 0.000 0.500 0.000
Pd 0.500 0.000 0.000
Cd 0.000 0.000 0.000
```

Values from the calculation:
VASP energy   -0.11123 hartree per atom
Density of states at the Fermi level   5.56 states/eV per cell
E_form (uncorrected)   529 kJ/mol of formula units


A relaxed structure of Dy2AgPd, computed with PBE. Values from VASP.

```
&SYSTEM
  ibrav = 0, nat = 4, ntyp = 3
/
ATOMIC_SPECIES
Ag 107.87 Ag.upf
Pd 106.42 Pd.upf
Dy 162.50 Dy.upf
CELL_PARAMETERS angstrom
5.048 0.000 0.000
2.524 4.371 0.000
2.524 1.457 4.121
ATOMIC_POSITIONS crystal
Ag 0.000 0.000 0.000
Pd 0.500 0.500 0.500
Dy 0.250 0.250 0.250
Dy 0.750 0.750 0.750
```

Values from the calculation:
VASP energy   -0.18018 hartree per atom
Density of states at the Fermi level   3.08 states/eV per cell


A relaxed structure of Ca2CdTe, computed with PBE. Values from VASP.

```
&SYSTEM
  ibrav = 0, nat = 4, ntyp = 3
/
ATOMIC_SPECIES
Ca 40.08 Ca.upf
Te 127.60 Te.upf
Cd 112.41 Cd.upf
CELL_PARAMETERS angstrom
-3.000 4.177 3.951
-5.206 3.867 0.085
-2.494 -3.395 1.695
ATOMIC_POSITIONS crystal
Ca 0.264 0.264 0.375
Te 0.722 0.722 0.875
Ca 0.990 0.990 0.875
Cd 0.523 0.523 0.375
```

Values from the calculation:
VASP energy   -0.10256 hartree per atom
Density of states at the Fermi level   2.93 states/eV per cell
E_form (uncorrected)   -299 kJ/mol of formula units


A relaxed structure of MnCrP2Cl, computed with PBE. Values from VASP.

```
&SYSTEM
  ibrav = 0, nat = 5, ntyp = 4
/
ATOMIC_SPECIES
P 30.97 P.upf
Mn 54.94 Mn.upf
Cl 35.45 Cl.upf
Cr 52.00 Cr.upf
CELL_PARAMETERS angstrom
-0.872 -4.298 -0.805
2.588 0.155 -3.628
3.708 -1.237 2.592
ATOMIC_POSITIONS crystal
P 0.000 0.500 0.000
Mn 0.500 0.500 0.500
P 0.500 0.000 0.000
Cl 0.000 0.000 0.500
Cr 0.000 0.000 0.000
```

Values from the calculation:
VASP energy   -0.21652 hartree per atom
Density of states at the Fermi level   2.64 states/eV per cell
E_form (uncorrected)   193 kJ/mol of formula units